No. 1
Density functional theory data (PBE-GGA) for a relaxed structure of RbRePt.

Calculated values
The value obtained for the total energy is -69.3 eV per cell. The value obtained for the distance to the lowest polymorph of the same formula is 461.5 meV per atom. For the theoretical density, the calculation gives 11.09 g/cm3. As for the formation energy: 2.1 eV per formula unit. Its calculated volume is 23.30 Å³/atom.

Lattice parameters (Å, degrees): 7.5690 4.5108 8.1888 90.00 90.00 90.00
With the nearest neighbours (Å) after each atom.
Space group Pnma (No. 62)
Inequivalent atoms, fractional coordinates:
Rb 0.0205 0.2500 0.1256 x4  2 Rb 3.07, 5 Pt 3.08-3.31
Re 0.0624 0.2500 0.5472 x4  2 Pt 2.55-2.58, 2 Re 2.56
Pt 0.2279 0.7500 0.2950 x4  2 Re 2.55-2.58

No. 2
Density functional theory data (PBE-GGA) for a relaxed structure of RbRe2Pt.

Calculated values
The value obtained for the total energy is -104.1 eV per cell. The value obtained for the distance to the lowest polymorph of the same formula is 0.0 meV per atom. For the theoretical density, the calculation gives 10.15 g/cm3. As for the formation energy: 5.9 eV per formula unit. Its calculated volume is 26.71 Å³/atom.

Lattice parameters (Å, degrees): 4.8069 4.8069 18.4934 90.00 90.00 90.00
With the nearest neighbours (Å) after each atom.
Space group I-42d (No. 122)
Inequivalent atoms, fractional coordinates:
Rb 0.0000 0.0000 0.0000 x4  4 Pt 3.40, 8 Re 3.44-3.66
Re 0.0339 0.2500 0.6250 x8  2 Re 2.43, 2 Pt 2.61
Pt 0.0000 0.0000 0.5000 x4  4 Re 2.61

No. 3
Density functional theory data (PBE-GGA) for a relaxed structure of RbRePt.

Calculated values
The value obtained for the total energy is -33.6 eV per cell. The value obtained for the distance to the lowest polymorph of the same formula is 625.2 meV per atom. For the theoretical density, the calculation gives 8.60 g/cm3. As for the formation energy: 2.6 eV per formula unit. Its calculated volume is 30.05 Å³/atom.

Lattice parameters (Å, degrees): 4.2057 4.2057 11.7698 90.00 90.00 120.00
With the nearest neighbours (Å) after each atom.
Space group P6_3/mmc (No. 194)
Inequivalent atoms, fractional coordinates:
Rb 0.0000 0.0000 0.0000 x2  6 Re 3.81, 6 Pt 3.81, 6 Rb 4.21
Re 0.3333 0.6667 0.2500 x2  3 Pt 2.43
Pt 0.3333 0.6667 0.7500 x2  3 Re 2.43

No. 4
Density functional theory data (PBE-GGA) for a relaxed structure of RbRePt.

Calculated values
The value obtained for the total energy is -36.1 eV per cell. The value obtained for the distance to the lowest polymorph of the same formula is 211.3 meV per atom. For the theoretical density, the calculation gives 9.79 g/cm3. As for the formation energy: 1.4 eV per formula unit. Its calculated volume is 26.40 Å³/atom.

Lattice parameters (Å, degrees): 5.2575 4.3323 6.9847 90.00 95.42 90.00
With the nearest neighbours (Å) after each atom.
Space group Pm (No. 6)
Inequivalent atoms, fractional coordinates:
Rb 0.0000 0.0000 0.0000 x1  1 Re 3.31, 4 Rb 3.55-3.60, 4 Pt 3.56-3.57
Rb 0.4866 0.5000 0.8440 x1  3 Pt 3.44-3.85, 4 Rb 3.55-3.60, 2 Re 3.57
Re 0.0712 0.0000 0.4754 x1  2 Re 2.63-2.64, 4 Pt 2.65-2.66
Re 0.5675 0.0000 0.4478 x1  4 Pt 2.60-2.61, 2 Re 2.63-2.64
Pt 0.3051 0.5000 0.3580 x1  4 Re 2.61-2.66, 2 Pt 2.63
Pt 0.8060 0.5000 0.3628 x1  4 Re 2.60-2.65, 2 Pt 2.63

No. 5
Density functional theory data (PBE-GGA) for a relaxed structure of RbRePt.

Calculated values
The value obtained for the total energy is -35.6 eV per cell. The value obtained for the distance to the lowest polymorph of the same formula is 299.0 meV per atom. For the theoretical density, the calculation gives 10.64 g/cm3. As for the formation energy: 1.7 eV per formula unit. Its calculated volume is 24.29 Å³/atom.

Lattice parameters (Å, degrees): 2.8888 5.9209 8.6323 90.00 99.28 90.00
With the nearest neighbours (Å) after each atom.
Space group Pm (No. 6)
Inequivalent atoms, fractional coordinates:
Rb 0.0000 0.0000 0.0000 x1  2 Rb 2.89
Rb 0.1404 0.5000 0.2608 x1  2 Rb 2.89
Re 0.3142 0.1946 0.6326 x2  1 Re 2.30
Pt 0.7012 0.0000 0.3975 x1  4 Re 2.72-2.73, 2 Pt 2.89
Pt 0.8910 0.5000 0.7932 x1  4 Re 2.69, 2 Pt 2.89

No. 6
Density functional theory data (PBE-GGA) for a relaxed structure of RbRePt.

Calculated values
The value obtained for the total energy is -16.8 eV per cell. The value obtained for the distance to the lowest polymorph of the same formula is 624.3 meV per atom. For the theoretical density, the calculation gives 8.61 g/cm3. As for the formation energy: 2.6 eV per formula unit. Its calculated volume is 30.01 Å³/atom.

Lattice parameters (Å, degrees): 4.2054 4.2054 5.8775 90.00 90.00 120.00
With the nearest neighbours (Å) after each atom.
Space group P-6m2 (No. 187)
Inequivalent atoms, fractional coordinates:
Rb 0.0000 0.0000 0.0000 x1  6 Pt 3.81, 6 Re 3.81, 6 Rb 4.21
Re 0.3333 0.6667 0.5000 x1  3 Pt 2.43
Pt 0.6667 0.3333 0.5000 x1  3 Re 2.43

No. 7
Density functional theory data (PBE-GGA) for a relaxed structure of RbRePt2Rh.

Calculated values
The value obtained for the total energy is -22.6 eV per cell. For the theoretical density, the calculation gives 10.10 g/cm3. As for the formation energy: 10.2 eV per formula unit. Its calculated volume is 25.14 Å³/atom.

Lattice parameters (Å, degrees): 4.9699 4.9699 5.0887 90.00 90.00 90.00
With the nearest neighbours (Å) after each atom.
Space group P4/mmm (No. 123)
Inequivalent atoms, fractional coordinates:
Rb 0.0000 0.0000 0.0000 x1  2 Rh 2.54
Re 0.5000 0.5000 0.0000 x1  4 Rb 3.51, 8 Pt 3.56
Pt 0.0000 0.5000 0.5000 x2  2 Rh 2.48
Rh 0.0000 0.0000 0.5000 x1  4 Pt 2.48, 2 Rb 2.54

No. 8
Density functional theory data (PBE-GGA) for a relaxed structure of RbRePt2S.

Calculated values
The value obtained for the total energy is -28.1 eV per cell. For the theoretical density, the calculation gives 9.92 g/cm3. Its calculated volume is 23.24 Å³/atom. The energy relative to the elements, uncorrected comes out at 0.3110 eV per atom.

Lattice parameters (Å, degrees): 5.0460 5.0460 4.5636 90.00 90.00 90.00
With the nearest neighbours (Å) after each atom.
Space group P4/mmm (No. 123)
Inequivalent atoms, fractional coordinates:
Rb 0.0000 0.0000 0.0000 x1  8 Pt 3.40, 4 S 3.57
Re 0.5000 0.5000 0.5000 x1  2 S 2.28, 4 Pt 2.52
Pt 0.0000 0.5000 0.5000 x2  2 Re 2.52
S 0.5000 0.5000 0.0000 x1  2 Re 2.28

No. 9
Density functional theory data (PBE-GGA) for a relaxed structure of RbReSbPt2.

Calculated values
The value obtained for the total energy is -24.2 eV per cell. For the theoretical density, the calculation gives 9.68 g/cm3. Its calculated volume is 26.87 Å³/atom. The energy relative to the elements, uncorrected comes out at 1.0836 eV per atom.

Lattice parameters (Å, degrees): 5.1322 5.1322 5.1011 90.00 90.00 90.00
With the nearest neighbours (Å) after each atom.
Space group P4/mmm (No. 123)
Inequivalent atoms, fractional coordinates:
Rb 0.0000 0.0000 0.0000 x1  8 Pt 3.62, 4 Re 3.63
Re 0.5000 0.5000 0.0000 x1  2 Sb 2.55
Sb 0.5000 0.5000 0.5000 x1  2 Re 2.55, 4 Pt 2.57
Pt 0.0000 0.5000 0.5000 x2  2 Sb 2.57

No. 10
Density functional theory data (PBE-GGA) for a relaxed structure of RbPt2Rh4.

Calculated values
The value obtained for the total energy is -61.5 eV per cell. For the theoretical density, the calculation gives 9.41 g/cm3. As for the formation energy: 11.7 eV per formula unit. Its calculated volume is 22.37 Å³/atom.

Lattice parameters (Å, degrees): 4.8271 4.8271 13.4382 90.00 90.00 90.00
With the nearest neighbours (Å) after each atom.
Space group I4/mmm (No. 139)
Inequivalent atoms, fractional coordinates:
Rb 0.0000 0.0000 0.0000 x2  4 Rh 2.41
Pt 0.0000 0.0000 0.4041 x4  1 Rh 2.40, 1 Pt 2.58
Rh 0.0000 0.0000 0.2258 x4  1 Pt 2.40
Rh 0.0000 0.5000 0.0000 x4  2 Rb 2.41

No. 11
Density functional theory data (PBE-GGA) for a relaxed structure of RbPtRh2.

Calculated values
The value obtained for the total energy is -74.9 eV per cell. The value obtained for the distance to the lowest polymorph of the same formula is 0.0 meV per atom. For the theoretical density, the calculation gives 7.72 g/cm3. As for the formation energy: 3.0 eV per formula unit. Its calculated volume is 26.15 Å³/atom.

Lattice parameters (Å, degrees): 4.8692 4.8692 17.6497 90.00 90.00 90.00
With the nearest neighbours (Å) after each atom.
Space group I-42d (No. 122)
Inequivalent atoms, fractional coordinates:
Rb 0.0000 0.0000 0.0000 x4  4 Rh 3.25, 4 Pt 3.44
Pt 0.0000 0.0000 0.5000 x4  4 Rh 2.55
Rh 0.0788 0.2500 0.6250 x8  2 Pt 2.55, 2 Rh 2.55

No. 12
Density functional theory data (PBE-GGA) for a relaxed structure of RbPtRh2.

Calculated values
The value obtained for the total energy is -71.0 eV per cell. The value obtained for the distance to the lowest polymorph of the same formula is 241.1 meV per atom. For the theoretical density, the calculation gives 10.85 g/cm3. As for the formation energy: 4.0 eV per formula unit. Its calculated volume is 18.61 Å³/atom.

Lattice parameters (Å, degrees): 6.6782 6.6782 6.6782 90.00 90.00 90.00
With the nearest neighbours (Å) after each atom.
Space group Fm-3m (No. 225)
Inequivalent atoms, fractional coordinates:
Rb 0.0000 0.0000 0.0000 x4  8 Rh 2.89
Pt 0.0000 0.0000 0.5000 x4  8 Rh 2.89
Rh 0.2500 0.2500 0.2500 x8  4 Rb 2.89, 4 Pt 2.89

No. 13
Density functional theory data (PBE-GGA) for a relaxed structure of Rb2Pt2Rh.

Calculated values
The value obtained for the total energy is -40.4 eV per cell. For the theoretical density, the calculation gives 8.76 g/cm3. As for the formation energy: 1.2 eV per formula unit. Its calculated volume is 25.19 Å³/atom.

Lattice parameters (Å, degrees): 6.6699 6.6699 5.6611 90.00 90.00 90.00
With the nearest neighbours (Å) after each atom.
Space group P4/mbm (No. 127)
Inequivalent atoms, fractional coordinates:
Rb 0.1808 0.3192 0.0000 x4  6 Pt 3.32-3.54, 5 Rb 3.41-3.46
Pt 0.1350 0.6350 0.5000 x4  1 Pt 2.55, 2 Rh 2.60
Rh 0.0000 0.0000 0.5000 x2  4 Pt 2.60

No. 14
Density functional theory data (PBE-GGA) for a relaxed structure of RbPt3Rh.

Calculated values
The value obtained for the total energy is -22.3 eV per cell. For the theoretical density, the calculation gives 10.48 g/cm3. As for the formation energy: 4.2 eV per formula unit. Its calculated volume is 24.52 Å³/atom.

Lattice parameters (Å, degrees): 4.9679 4.9679 4.9679 90.00 90.00 90.00
With the nearest neighbours (Å) after each atom.
Space group Pm-3m (No. 221)
Inequivalent atoms, fractional coordinates:
Rb 0.0000 0.0000 0.0000 x1  12 Pt 3.51
Pt 0.0000 0.5000 0.5000 x3  2 Rh 2.48
Rh 0.5000 0.5000 0.5000 x1  6 Pt 2.48

No. 15
Density functional theory data (PBE-GGA) for a relaxed structure of Rb2PtRhS4.

Calculated values
The value obtained for the total energy is -289.5 eV per cell. For the theoretical density, the calculation gives 4.42 g/cm3. Its calculated volume is 28.03 Å³/atom. The energy relative to the elements, uncorrected comes out at -0.5445 eV per atom.

Lattice parameters (Å, degrees): 5.7353 13.6651 22.8868 90.00 90.00 90.00
With the nearest neighbours (Å) after each atom.
Space group Fddd (No. 70, origin choice 2)
Inequivalent atoms, fractional coordinates:
Rb 0.1250 0.1250 0.3067 x16  8 S 3.45-3.61
Pt 0.1250 0.1250 0.6250 x8  4 S 2.34
Rh 0.1250 0.1250 0.1250 x8  4 S 2.29
S 0.1171 0.2802 0.4307 x32  1 Rh 2.29, 1 Pt 2.34

No. 16
Density functional theory data (PBE-GGA) for a relaxed structure of Rb2PtRh2Se6.

Calculated values
The value obtained for the total energy is -101.6 eV per cell. For the theoretical density, the calculation gives 5.88 g/cm3. Its calculated volume is 26.83 Å³/atom. The energy relative to the elements, uncorrected comes out at -0.6544 eV per atom.

Lattice parameters (Å, degrees): 6.6470 11.5262 8.0149 90.00 106.03 90.00
With the nearest neighbours (Å) after each atom.
Space group C2/m (No. 12)
Inequivalent atoms, fractional coordinates:
Rb 0.0000 0.1665 0.0000 x4  6 Se 3.43-3.44, 1 Rb 3.84
Pt 0.0000 0.0000 0.5000 x2  6 Se 2.54-2.56
Rh 0.0000 0.3323 0.5000 x4  6 Se 2.52-2.54
Se 0.2162 0.5000 0.6613 x4  2 Rh 2.54, 1 Pt 2.56
Se 0.2220 0.1667 0.6600 x8  2 Rh 2.52-2.53, 1 Pt 2.54

No. 17
Density functional theory data (PBE-GGA) for a relaxed structure of RbSi2PtRh.

Calculated values
The value obtained for the total energy is -23.9 eV per cell. For the theoretical density, the calculation gives 6.46 g/cm3. Its calculated volume is 22.59 Å³/atom. The energy relative to the elements, uncorrected comes out at 0.2530 eV per atom.

Lattice parameters (Å, degrees): 4.5449 4.5449 5.4691 90.00 90.00 90.00
With the nearest neighbours (Å) after each atom.
Space group P4/mmm (No. 123)
Inequivalent atoms, fractional coordinates:
Rb 0.0000 0.0000 0.0000 x1  4 Pt 3.21, 8 Si 3.56
Si 0.0000 0.5000 0.5000 x2  2 Rh 2.27
Pt 0.5000 0.5000 0.0000 x1  2 Rh 2.73
Rh 0.5000 0.5000 0.5000 x1  4 Si 2.27

No. 18
Density functional theory data (PBE-GGA) for a relaxed structure of RbTe6PtRh.

Calculated values
The value obtained for the total energy is -143.6 eV per cell. For the theoretical density, the calculation gives 6.49 g/cm3. Its calculated volume is 32.66 Å³/atom. The energy relative to the elements, uncorrected comes out at -0.3001 eV per atom.

Lattice parameters (Å, degrees): 9.4014 9.4305 13.2634 90.00 90.00 90.00
With the nearest neighbours (Å) after each atom.
Space group Imma (No. 74)
Inequivalent atoms, fractional coordinates:
Rb 0.0000 0.2500 0.1223 x4  6 Te 3.63-3.67
Te 0.0000 0.2500 0.3989 x4  2 Pt 2.71
Te 0.0000 0.2500 0.8487 x4  2 Rh 2.69
Te 0.2270 0.0263 0.6269 x16  1 Rh 2.68, 1 Pt 2.73
Pt 0.0000 0.0000 0.5000 x4  6 Te 2.71-2.73
Rh 0.2500 0.2500 0.7500 x4  6 Te 2.68-2.69

No. 19
Density functional theory data (PBE-GGA) for a relaxed structure of RbRu3Pt.

Calculated values
The value obtained for the total energy is -26.3 eV per cell. The value obtained for the distance to the lowest polymorph of the same formula is 0.0 meV per atom. For the theoretical density, the calculation gives 7.87 g/cm3. As for the formation energy: 8.5 eV per formula unit. Its calculated volume is 24.64 Å³/atom.

Lattice parameters (Å, degrees): 4.9756 4.9756 4.9756 90.00 90.00 90.00
With the nearest neighbours (Å) after each atom.
Space group Pm-3m (No. 221)
Inequivalent atoms, fractional coordinates:
Rb 0.0000 0.0000 0.0000 x1  12 Ru 3.52
Ru 0.0000 0.5000 0.5000 x3  2 Pt 2.49
Pt 0.5000 0.5000 0.5000 x1  6 Ru 2.49

No. 20
Density functional theory data (PBE-GGA) for a relaxed structure of RbRu3Pt.

Calculated values
The value obtained for the total energy is -19.4 eV per cell. The value obtained for the distance to the lowest polymorph of the same formula is 1381.4 meV per atom. For the theoretical density, the calculation gives 9.53 g/cm3. As for the formation energy: 15.4 eV per formula unit. Its calculated volume is 20.35 Å³/atom.

Lattice parameters (Å, degrees): 4.6687 4.6687 4.6687 90.00 90.00 90.00
With the nearest neighbours (Å) after each atom.
Space group Pm-3m (No. 221)
Inequivalent atoms, fractional coordinates:
Rb 0.0000 0.0000 0.0000 x1  6 Ru 2.33
Ru 0.0000 0.0000 0.5000 x3  2 Rb 2.33
Pt 0.5000 0.5000 0.5000 x1  12 Ru 3.30